! Cr2AgGeO (PBE with a Hubbard U, relaxed); values from VASP
&SYSTEM
  ibrav = 0, nat = 5, ntyp = 4
/
ATOMIC_SPECIES
O 16.00 O.upf
Cr 52.00 Cr.upf
Ge 72.64 Ge.upf
Ag 107.87 Ag.upf
CELL_PARAMETERS angstrom
-3.557 0.992 1.966
-1.864 -4.030 -1.340
1.422 -1.818 3.489
ATOMIC_POSITIONS crystal
O 0.000 0.000 0.000
Cr 0.000 0.000 0.500
Cr 0.500 0.000 0.000
Ge 0.000 0.500 0.000
Ag 0.500 0.500 0.500
! V	16.232	Å³/atom
! E_tot	-28.5	eV/f.u.
! SG	No. 123